Here is TiTl2Tc after structural relaxation from Alexandria. Energies are from PBE.

Cell lengths 6.705, 6.705, 6.705 Å; angles 90.00, 90.00, 90.00 degrees
Space group Fm-3m (No. 225)
One atom of each set of equivalent atoms:
Ti 0.000 0.000 0.000
Tl 0.250 0.250 0.250
Tc 0.000 0.000 0.500

Output
Formation energy = 1.84 eV/f.u.
Mass density = 12.22 g/cm³
Total magnetic moment = 0.00 μB/f.u.
Offset from the most stable computed form = 0 meV/atom

=====

Here is Pr3Er4Al4 after structural relaxation from Alexandria. Energies are from PBE.

Cell lengths 5.114, 7.220, 16.711 Å; angles 90.00, 90.00, 90.00 degrees
Space group Immm (No. 71)
One atom of each set of equivalent atoms:
Pr 0.000 0.000 0.000
Pr 0.000 0.500 0.109
Er 0.000 0.276 0.322
Al 0.000 0.000 0.187
Al 0.000 0.187 0.500

Output
Formation energy = -2.18 eV/f.u.
Mass density = 6.46 g/cm³
Total magnetic moment = 0.00 μB/f.u.

=====

Here is HfZnBi2S after structural relaxation from Alexandria. Energies are from PBE.

Cell lengths 5.192, 5.192, 5.222 Å; angles 90.00, 90.00, 90.00 degrees
Space group P4/mmm (No. 123)
One atom of each set of equivalent atoms:
Hf 0.000 0.000 0.000
Zn 0.000 0.000 0.500
Bi 0.000 0.500 0.500
S 0.500 0.500 0.000

Output
Uncorrected formation energy = 0.813 eV per atom
Mass density = 8.19 g/cm³
Total magnetic moment = 0.00 μB/f.u.